GGA-PBE KRe2Ru, relaxed; size of the total moment = 0.2 μB/f.u.; energy of formation = 1.509 eV/atom; crystal system = orthorhombic; excess energy over the best structure of this formula in the dataset = 0.804 eV per atom; SG = Cmmm (65); volume = 17.18 Å³/atom
1.0
2.706 -4.916 0.000
2.706 4.916 0.000
0.000 0.000 2.583
K Re Ru
1 2 1
direct
0.000 0.000 0.000
0.000 0.500 0.500
0.500 0.000 0.500
0.500 0.500 0.000